[1]
VASP calculation (GGA-PBE) on AlPbF5 after structural relaxation.

POSCAR file:
```
AlPbF5
1.0
7.276 0.000 0.000
3.638 10.275 0.000
3.638 0.000 10.275
F Al Pb
40 8 8
Direct
0.788 0.490 0.981
0.803 0.646 0.143
0.102 0.143 0.354
0.296 0.189 0.608
0.633 0.327 0.455
0.470 0.443 0.666
0.390 0.840 0.925
0.094 0.811 0.392
0.820 0.075 0.840
0.525 0.000 0.000
0.415 0.673 0.545
0.946 0.857 0.646
0.279 0.981 0.510
0.912 0.666 0.557
0.954 0.189 0.608
0.457 0.646 0.143
0.486 0.608 0.811
0.274 0.500 0.500
0.025 0.000 0.000
0.578 0.557 0.334
0.448 0.143 0.354
0.600 0.857 0.646
0.135 0.334 0.443
0.660 0.160 0.075
0.591 0.354 0.857
0.774 0.500 0.500
0.769 0.019 0.490
0.895 0.840 0.925
0.143 0.608 0.811
0.260 0.510 0.019
0.562 0.392 0.189
0.155 0.160 0.075
0.230 0.925 0.160
0.752 0.811 0.392
0.960 0.455 0.673
0.905 0.392 0.189
0.245 0.354 0.857
0.315 0.075 0.840
0.088 0.545 0.327
0.735 0.925 0.160
0.524 0.500 0.500
0.843 0.844 0.517
0.687 0.517 0.156
0.277 0.000 0.000
0.773 0.000 0.000
0.361 0.483 0.844
0.205 0.156 0.483
0.024 0.500 0.500
0.764 0.686 0.834
0.251 0.822 0.723
0.074 0.723 0.178
0.450 0.834 0.314
0.797 0.178 0.277
0.974 0.277 0.822
0.598 0.166 0.686
0.284 0.314 0.166
```

**Space-group type**: I4 (79)
**Magnetic moment**: 0.000 μB per atom

[2]
VASP calculation (GGA-PBE) on Al2PbF after structural relaxation.

POSCAR file:
```
Al2PbF
1.0
5.047 0.000 0.000
0.000 5.047 0.000
2.523 2.523 6.921
Pb F Al
2 2 4
Direct
0.750 0.250 0.500
0.000 0.000 0.000
0.500 0.500 0.000
0.250 0.750 0.500
0.280 0.625 0.250
0.375 0.530 0.750
0.470 0.125 0.250
0.875 0.720 0.750
```

**Relative energy among the computed polymorphs**: 0 meV per atom
**Space-group type**: I-42d (122)
**Magnetic moment**: 0.000 μB per atom

[3]
VASP calculation (GGA-PBE) on AlPb2F6 after structural relaxation.

POSCAR file:
```
AlPb2F6
1.0
5.076 0.000 0.000
0.000 5.076 0.000
0.000 0.000 11.707
Al F Pb
2 12 4
Direct
0.000 0.000 0.000
0.500 0.500 0.500
0.265 0.265 0.000
0.827 0.173 0.113
0.765 0.235 0.500
0.735 0.735 0.000
0.173 0.827 0.887
0.673 0.673 0.387
0.673 0.673 0.613
0.173 0.827 0.113
0.827 0.173 0.887
0.327 0.327 0.387
0.327 0.327 0.613
0.235 0.765 0.500
0.500 0.500 0.169
0.000 0.000 0.669
0.500 0.500 0.831
0.000 0.000 0.331
```

**Space-group type**: P4_2/mnm (136)
**Magnetic moment**: 0.096 μB per atom

[4]
VASP calculation (GGA-PBE) on Al2PtPbF after structural relaxation.

POSCAR file:
```
Al2PtPbF
1.0
4.342 0.000 0.000
0.000 5.018 0.000
0.000 0.000 4.342
F Pt Al Pb
1 1 2 1
Direct
0.000 0.000 0.000
0.500 0.500 0.500
0.500 0.000 0.000
0.000 0.000 0.500
0.000 0.500 0.000
```

**Space-group type**: P4/mmm (123)
**Magnetic moment**: 0.000 μB per atom

[5]
VASP calculation (GGA-PBE) on RbAlPb2F8 after structural relaxation.

POSCAR file:
```
RbAlPb2F8
1.0
-2.798 3.566 -2.921
-3.761 -3.490 -1.906
-5.700 0.003 4.636
F Pb Al Rb
8 2 1 1
Direct
0.794 0.217 0.102
0.505 0.744 0.492
0.269 0.065 0.109
0.044 0.279 0.780
0.206 0.783 0.898
0.731 0.935 0.891
0.956 0.721 0.220
0.495 0.256 0.508
0.474 0.385 0.781
0.526 0.615 0.219
0.000 0.000 0.000
0.000 0.000 0.500
```

**Space-group type**: P-1 (2)
**Magnetic moment**: 0.000 μB per atom

[6]
VASP calculation (GGA-PBE) on RbAlPbF6 after structural relaxation.

POSCAR file:
```
RbAlPbF6
1.0
8.131 0.000 0.000
0.000 7.381 0.000
-4.065 -3.691 5.103
Al F Pb Rb
2 12 2 2
Direct
0.500 0.500 0.000
0.500 0.000 0.000
0.533 0.406 0.752
0.460 0.210 0.921
0.121 0.871 0.242
0.219 0.406 0.752
0.879 0.129 0.758
0.219 0.845 0.752
0.781 0.155 0.248
0.540 0.790 0.079
0.533 0.845 0.752
0.467 0.594 0.248
0.781 0.594 0.248
0.467 0.155 0.248
0.500 0.000 0.500
0.000 0.000 0.500
0.157 0.407 0.314
0.843 0.593 0.686
```

**Space-group type**: Imma (74)
**Magnetic moment**: 0.000 μB per atom

[7]
VASP calculation (GGA-PBE) on RbAl2PbF8 after structural relaxation.

POSCAR file:
```
RbAl2PbF8
1.0
5.146 0.000 0.000
2.573 4.457 0.000
2.573 1.486 9.985
F Al Pb Rb
8 2 1 1
Direct
0.252 0.950 0.214
0.189 0.189 0.434
0.748 0.050 0.786
0.950 0.583 0.214
0.050 0.417 0.786
0.811 0.811 0.566
0.583 0.252 0.214
0.417 0.748 0.786
0.246 0.246 0.263
0.754 0.754 0.737
0.000 0.000 0.000
0.500 0.500 0.500
```

**Space-group type**: R-3 (148)
**Magnetic moment**: 0.059 μB per atom

[8]
VASP calculation (GGA-PBE) on RbAlPb2F after structural relaxation.

POSCAR file:
```
RbAlPb2F
1.0
6.106 0.000 0.000
0.000 3.834 0.000
0.000 0.000 6.106
F Al Pb Rb
1 1 2 1
Direct
0.000 0.500 0.000
0.000 0.000 0.000
0.500 0.000 0.000
0.000 0.000 0.500
0.500 0.500 0.500
```

**Space-group type**: P4/mmm (123)
**Magnetic moment**: 0.000 μB per atom

[9]
VASP calculation (GGA-PBE) on AlRu2PbF after structural relaxation.

POSCAR file:
```
AlRu2PbF
1.0
4.303 0.000 0.000
0.000 4.702 0.000
0.000 0.000 4.303
Ru Pb F Al
2 1 1 1
Direct
0.500 0.000 0.000
0.000 0.000 0.500
0.000 0.500 0.000
0.000 0.000 0.000
0.500 0.500 0.500
```

**Space-group type**: P4/mmm (123)
**Magnetic moment**: 0.100 μB per atom

[10]
VASP calculation (GGA-PBE) on AlTe2Pb3F6 after structural relaxation.

POSCAR file:
```
AlTe2Pb3F6
1.0
5.862 0.000 0.350
0.000 6.309 0.000
-0.476 -3.154 7.547
F Al Pb Te
6 1 3 2
Direct
0.472 0.123 0.247
0.528 0.877 0.753
0.716 0.217 0.017
0.284 0.783 0.983
0.716 0.800 0.017
0.284 0.200 0.983
0.500 0.000 0.000
0.500 0.500 0.500
0.000 0.500 0.000
0.500 0.000 0.500
0.004 0.726 0.452
0.996 0.274 0.548
```

**Space-group type**: C2/m (12)
**Magnetic moment**: 0.000 μB per atom

[11]
VASP calculation (GGA-PBE) on AlTe2PbF after structural relaxation.

POSCAR file:
```
AlTe2PbF
1.0
-2.862 4.507 2.279
-0.185 -2.771 5.248
5.047 2.458 1.476
Te Al F Pb
2 1 1 1
Direct
0.500 0.000 0.000
0.000 0.000 0.500
0.000 0.500 0.000
0.500 0.500 0.500
0.000 0.000 0.000
```

**Space-group type**: P4/mmm (123)
**Magnetic moment**: 0.049 μB per atom

[12]
VASP calculation (GGA-PBE) on AlTlPb2F8 after structural relaxation.

POSCAR file:
```
AlTlPb2F8
1.0
5.393 0.094 -0.116
0.090 5.204 0.023
-0.204 0.030 7.621
F Tl Pb Al
8 1 2 1
Direct
0.877 0.220 0.822
0.380 0.290 0.473
0.192 0.836 0.839
0.123 0.780 0.178
0.620 0.710 0.527
0.746 0.777 0.950
0.254 0.223 0.050
0.808 0.164 0.161
0.000 0.000 0.500
0.496 0.484 0.766
0.504 0.516 0.234
0.000 0.000 0.000
```

**Space-group type**: P-1 (2)
**Magnetic moment**: 0.000 μB per atom

[13]
VASP calculation (GGA-PBE) on Al2TlPbF8 after structural relaxation.

POSCAR file:
```
Al2TlPbF8
1.0
-3.078 -3.847 -1.569
-1.252 -3.807 3.268
-9.342 2.570 3.506
F Pb Al Tl
8 1 2 1
Direct
0.748 0.047 0.785
0.953 0.581 0.215
0.047 0.419 0.785
0.813 0.813 0.561
0.419 0.748 0.785
0.252 0.953 0.215
0.581 0.252 0.215
0.187 0.187 0.439
0.000 0.000 0.000
0.755 0.755 0.735
0.245 0.245 0.265
0.500 0.500 0.500
```

**Space-group type**: R-3 (148)
**Magnetic moment**: 0.057 μB per atom

Number 1: N(E_F) 0.000 states/eV per atom, uncorrected energy -306.01 eV per cell. Number 2: N(E_F) 0.280 states/eV per atom, uncorrected energy -30.36 eV per cell. Number 3: N(E_F) 0.296 states/eV per atom, uncorrected energy -91.44 eV per cell. Number 4: N(E_F) 0.429 states/eV per atom, uncorrected energy -20.31 eV per cell. Number 5: N(E_F) 0.000 states/eV per atom, uncorrected energy -61.16 eV per cell. Number 6: N(E_F) 0.000 states/eV per atom, uncorrected energy -93.97 eV per cell. Number 7: N(E_F) 0.139 states/eV per atom, uncorrected energy -62.64 eV per cell. Number 8: N(E_F) 0.482 states/eV per atom, uncorrected energy -16.82 eV per cell. Number 9: N(E_F) 0.817 states/eV per atom, uncorrected energy -24.77 eV per cell. Number 10: N(E_F) 0.216 states/eV per atom, uncorrected energy -56.41 eV per cell. Number 11: N(E_F) 0.768 states/eV per atom, uncorrected energy -13.42 eV per cell. Number 12: N(E_F) 0.000 states/eV per atom, uncorrected energy -60.26 eV per cell. Number 13: N(E_F) 0.155 states/eV per atom, uncorrected energy -61.85 eV per cell.